A plane-wave DFT calculation with PBE was carried out for a relaxed structure of Ca5Au6.

Calculated values
M_tot   0.0 μB/f.u.
Energy of formation from the pure elements   -0.70 eV per atom
DOS at the Fermi energy   4.88 states/eV/f.u.
E   -3.40 eV/atom

```
11
Lattice="1.4225 -2.8874 -3.9325 1.4577 -5.6179 4.6518 -8.5933 1.7659 -1.1213" Properties=species:S:1:pos:R:3 pbc="T T T"
Ca -4.4017 -4.5925 1.7796
Ca -1.3113 -2.1469 -2.1816
Ca 0.7289 -2.8090 2.3259
Ca -4.6518 -1.6172 -0.4953
Ca -1.0612 -5.1222 0.0933
Au -3.5389 -4.2907 -1.4134
Au -2.1742 -2.4487 1.0113
Au -4.1907 -1.7784 -3.4936
Au 1.1337 -3.0717 -0.6181
Au -1.5223 -4.9610 3.0916
Au 1.7465 -5.4336 1.3374
```

***

A plane-wave DFT calculation with PBE was carried out for a relaxed structure of Ta2NiAu.

Calculated values
M_tot   0.0 μB/f.u.
Energy of formation from the pure elements   -0.07 eV per atom
DOS at the Fermi energy   4.07 states/eV/f.u.
E   -8.26 eV/atom

```
4
Lattice="-0.1383 -3.0235 -2.5605 0.9840 -2.5065 2.9066 -3.9640 -0.5520 0.8660" Properties=species:S:1:pos:R:3 pbc="T T T"
Ta 0.4229 -2.7650 0.1730
Ta 0.0000 0.0000 0.0000
Ni -1.4900 -1.5293 1.8863
Au -2.0511 -1.7878 -0.8473
```

***

A plane-wave DFT calculation with PBE was carried out for a relaxed structure of HfV3Pd.

Calculated values
M_tot   4.1 μB/f.u.
Energy of formation from the pure elements   1.64 eV per atom
DOS at the Fermi energy   5.62 states/eV/f.u.
E   -6.86 eV/atom

```
5
Lattice="4.6314 0.0000 0.0000 0.0000 4.6314 0.0000 0.0000 0.0000 4.6314" Properties=species:S:1:pos:R:3 pbc="T T T"
V 2.3157 0.0000 0.0000
V 0.0000 0.0000 2.3157
V 0.0000 2.3157 0.0000
Pd 2.3157 2.3157 2.3157
Hf 0.0000 0.0000 0.0000
```

***

A plane-wave DFT calculation with PBE was carried out for a relaxed structure of CsSr2TmBr8.

Calculated values
M_tot   0.0 μB/f.u.
DOS at the Fermi energy   0.00 states/eV/f.u.
E   -3.78 eV/atom

```
12
Lattice="-0.1338 -6.2381 3.5211 6.0847 1.5065 3.0187 -4.6850 4.2424 7.3528" Properties=species:S:1:pos:R:3 pbc="T T T"
Br 2.0632 -0.5005 8.0050
Br 3.7092 1.0105 4.3330
Br 0.8915 3.5618 8.7692
Br -0.2032 1.1138 12.0235
Br -2.4433 -1.4997 9.5596
Br -0.7973 0.0113 5.8877
Br 0.3743 -4.0510 5.1235
Br 1.4691 -1.6031 1.8691
Tm 0.0000 0.0000 0.0000
Sr 1.8149 -1.3139 5.0925
Sr -0.5490 0.8247 8.8001
Cs -2.3425 2.1212 3.6764
```

***

A plane-wave DFT calculation with PBE was carried out for a relaxed structure of PrEr2Mg.

Calculated values
M_tot   0.0 μB/f.u.
Energy of formation from the pure elements   0.02 eV per atom
DOS at the Fermi energy   6.88 states/eV/f.u.
E   -3.85 eV/atom

```
4
Lattice="-4.8331 -0.6360 1.1152 1.2162 -1.1381 4.6217 -0.3340 4.7380 1.2547" Properties=species:S:1:pos:R:3 pbc="T T T"
Er 0.6081 -0.5691 2.3109
Er -0.1670 2.3690 0.6273
Pr -2.4166 -0.3180 0.5576
Mg -1.9754 1.4819 3.4958
```

***

A plane-wave DFT calculation with PBE was carried out for a relaxed structure of PmNdDyHg.

Calculated values
M_tot   0.0 μB/f.u.
Energy of formation from the pure elements   -0.23 eV per atom
DOS at the Fermi energy   4.60 states/eV/f.u.
E   -3.84 eV/atom

```
4
Lattice="3.6928 0.0000 0.0000 0.0000 3.6928 0.0000 0.0000 0.0000 8.9297" Properties=species:S:1:pos:R:3 pbc="T T T"
Hg 0.0000 0.0000 5.0073
Nd 0.0000 0.0000 0.6893
Pm 1.8464 1.8464 7.0659
Dy 1.8464 1.8464 3.1743
```

***

Repeat the fifth record exactly.
A plane-wave DFT calculation with PBE was carried out for a relaxed structure of PrEr2Mg.

Calculated values
M_tot   0.0 μB/f.u.
Energy of formation from the pure elements   0.02 eV per atom
DOS at the Fermi energy   6.88 states/eV/f.u.
E   -3.85 eV/atom

```
4
Lattice="-4.8331 -0.6360 1.1152 1.2162 -1.1381 4.6217 -0.3340 4.7380 1.2547" Properties=species:S:1:pos:R:3 pbc="T T T"
Er 0.6081 -0.5691 2.3109
Er -0.1670 2.3690 0.6273
Pr -2.4166 -0.3180 0.5576
Mg -1.9754 1.4819 3.4958
```